Sm3Os | PBE | relaxed

The structure in CIF format:
```
data_Sm3Os
_chemical_formula_sum 'Sm24 Os8'
_cell_length_a 11.7904
_cell_length_b 11.7904
_cell_length_c 6.3921
_cell_angle_alpha 90.00
_cell_angle_beta 90.00
_cell_angle_gamma 90.00
_symmetry_space_group_name_H-M 'P 42/n'
_symmetry_Int_Tables_number 86
loop_
_symmetry_equiv_pos_as_xyz
'x,y,z'
'-x,-y,-z'
'-y,x+1/2,z+1/2'
'y,-x+1/2,-z+1/2'
'-x+1/2,-y+1/2,z'
'x+1/2,y+1/2,-z'
'y+1/2,-x,z+1/2'
'-y+1/2,x,-z+1/2'
loop_
_atom_site_label
_atom_site_fract_x
_atom_site_fract_y
_atom_site_fract_z
Sm1 0.0310 0.9051 0.1978
Sm2 0.1137 0.8334 0.6938
Sm3 0.1190 0.3060 0.0234
Os1 0.0504 0.3123 0.5142
```

Energy relative to the elements ... -26.7 kJ/mol of formula units
Total magnetization ... 0.00 Bohr magnetons per cell